Zr2Ru: optimized geometry, GGA-PBE.

The value obtained for the energy of formation from the pure elements is 0.5409 eV/atom. For the density of states at the Fermi level, the calculation gives 11.62 states/eV/cell.

The space group is P6_3/mmc (No. 194) and the conventional cell measures 5.5715, 5.5715 and 8.7436 Å, with angles of 90.00, 90.00 and 120.00 degrees. The inequivalent atoms are Zr at (0.0000, 0.0000, 0.0000), Zr at (0.1747, 0.3495, 0.2500) and Ru at (0.3333, 0.6667, 0.5465).